# 1
# CrNi4Rh

A relaxed CrNi4Rh crystal (PBE, the Alexandria database).

Results
Energy above the most stable polymorph in this dataset in meV per atom: 65
ΔH_f (0 K) in eV per atom: 0.09
Electronic total energy in eV per atom: -6.5894
Total magnetic moment in μB/cell: 0.4
Space-group type: F-43m
Mass density in g cm⁻³: 9.0

Cell: 4.6702 4.6702 4.6702 Å, 60.00 60.00 60.00°
Sites, in units of the cell vectors:
Cr  0.0000  0.0000  0.0000
Ni  0.1250  0.6250  0.6250
Ni  0.6250  0.1250  0.6250
Ni  0.6250  0.6250  0.1250
Ni  0.6250  0.6250  0.6250
Rh  0.2500  0.2500  0.2500

# 2
# Nd2SiCl

A relaxed Nd2SiCl crystal (PBE, the Alexandria database).

Results
ΔE_f (raw) in meV/atom: -1127
Energy above the most stable polymorph in this dataset in meV per atom: 55
Electronic total energy in eV per atom: -5.3284
Total magnetic moment in μB/cell: 0.0
Space-group type: R3m
Mass density in g cm⁻³: 5.2

Cell: 7.8357 7.8357 7.8357 Å, 30.82 30.82 30.82°
Sites, in units of the cell vectors:
Nd  0.0000  0.0000  0.0000
Nd  0.1909  0.1909  0.1909
Si  0.5959  0.5959  0.5959
Cl  0.4250  0.4250  0.4250

# 3
# Li12Pd6Rh

A relaxed Li12Pd6Rh crystal (PBE, the Alexandria database).

Results
ΔH_f (0 K) in eV per atom: -0.29
Electronic total energy in eV per atom: -3.5271
Total magnetic moment in μB/cell: 0.0
Space-group type: R-3
Mass density in g cm⁻³: 4.7

Cell: 6.6272 6.6272 6.6272 Å, 90.86 90.86 90.86°
Sites, in units of the cell vectors:
Li  0.0253  0.9194  0.3100
Li  0.0806  0.6900  0.9747
Li  0.1280  0.4718  0.3580
Li  0.3100  0.0253  0.9194
Li  0.3580  0.1280  0.4718
Li  0.4718  0.3580  0.1280
Li  0.5282  0.6420  0.8720
Li  0.6420  0.8720  0.5282
Li  0.6900  0.9747  0.0806
Li  0.8720  0.5282  0.6420
Li  0.9194  0.3100  0.0253
Li  0.9747  0.0806  0.6900
Pd  0.2227  0.7709  0.6172
Pd  0.2291  0.3828  0.7773
Pd  0.3828  0.7773  0.2291
Pd  0.6172  0.2227  0.7709
Pd  0.7709  0.6172  0.2227
Pd  0.7773  0.2291  0.3828
Rh  0.5000  0.5000  0.5000